# Sr2Ca6Mn5Fe3O24 | Alexandria | GGA+U | optimized geometry
# uncorrected energy: -6.676 eV per atom
data_Sr2Ca6Mn5Fe3O24
_chemical_formula_sum 'Sr4 Ca12 Mn10 Fe6 O48'
_cell_length_a 7.712
_cell_length_b 10.856
_cell_length_c 10.856
_cell_angle_alpha 90.00
_cell_angle_beta 90.00
_cell_angle_gamma 90.00
_space_group_name_H-M_alt 'A m m 2'
_space_group_IT_number 38
_space_group_name_Hall 'A 2 -2'
loop_
_atom_site_label
_atom_site_fract_x
_atom_site_fract_y
_atom_site_fract_z
_atom_site_occupancy
Sr1 0.250 0.000 0.000 1
Ca1 0.248 0.249 0.750 1
Ca2 0.249 0.000 0.501 1
Mn1 0.000 0.000 0.252 1
Mn2 0.000 0.000 0.749 1
Mn3 0.000 0.249 0.500 1
Mn4 0.500 0.000 0.749 1
Fe1 0.500 0.000 0.252 1
Fe2 0.500 0.249 0.500 1
O1 0.000 0.124 0.376 1
O2 0.000 0.124 0.624 1
O3 0.000 0.128 0.129 1
O4 0.000 0.128 0.871 1
O5 0.246 0.246 0.500 1
O6 0.247 0.000 0.254 1
O7 0.249 0.000 0.746 1
O8 0.500 0.123 0.376 1
O9 0.500 0.123 0.625 1
O10 0.500 0.127 0.128 1
O11 0.500 0.127 0.871 1